Below is FeOsN2O after structural relaxation, with properties calculated at the PBE+U level.

abc: 3.815 3.815 4.016
angles: 90.00 90.00 90.00
Last column: magnetic moment on the atom in μB.
Element x y z (fractional)
Os (0.000, 0.000, 0.000)  0.03
N (0.000, 0.500, 0.000)  0.01
N (0.500, 0.000, 0.000)  0.01
Fe (0.500, 0.500, 0.500)  3.77
O (0.000, 0.000, 0.500)  0.05

## Properties
Fermi-level density of states, states/eV per atom: 0.58
SG: P4/mmm, No. 123
Theoretical density, Mg/m³: 8.239
Calculated total energy, eV per cell: -36.16
Calculated volume, Å³ per cell: 58.46